1.
A plane-wave DFT calculation with GGA-PBE was carried out for crystalline YSiPt3 at its relaxed geometry.

It has space group Pm-3m (No. 221), with a = 5.0952 Å, b = 5.0952 Å, c = 5.0952 Å, α = 90.00°, β = 90.00° and γ = 90.00°. The distinct sites, in fractional coordinates, are Y at (0.0000, 0.0000, 0.0000), Si at (0.5000, 0.5000, 0.5000) and Pt at (0.0000, 0.0000, 0.5000).

The uncorrected formation energy is 1.104 eV/atom.

2.
A plane-wave DFT calculation with GGA-PBE was carried out for crystalline Y3Si2Pt at its relaxed geometry.

It has space group Pnma (No. 62), with a = 11.4558 Å, b = 4.2209 Å, c = 11.4291 Å, α = 90.00°, β = 90.00° and γ = 90.00°. The distinct sites, in fractional coordinates, are Y at (0.0574, 0.2500, 0.1227), Y at (0.1195, 0.7500, 0.5611), Y at (0.2088, 0.2500, 0.8078), Si at (0.0208, 0.7500, 0.3098), Si at (0.1916, 0.7500, 0.9989) and Pt at (0.1303, 0.2500, 0.3672).

The uncorrected formation energy is -0.946 eV/atom.

3.
A plane-wave DFT calculation with GGA-PBE was carried out for crystalline YSi2Pt at its relaxed geometry.

It has space group Pmmm (No. 47), with a = 4.0303 Å, b = 4.0549 Å, c = 4.2927 Å, α = 90.00°, β = 90.00° and γ = 90.00°. The distinct sites, in fractional coordinates, are Y at (0.0000, 0.0000, 0.0000), Si at (0.5000, 0.0000, 0.5000), Si at (0.5000, 0.5000, 0.0000) and Pt at (0.0000, 0.5000, 0.5000).

The uncorrected formation energy is -0.526 eV/atom.

4.
A plane-wave DFT calculation with GGA-PBE was carried out for crystalline YSi2Pt at its relaxed geometry.

It has space group Pmm2 (No. 25), with a = 3.9507 Å, b = 4.2456 Å, c = 4.7814 Å, α = 90.00°, β = 90.00° and γ = 90.00°. The distinct sites, in fractional coordinates, are Y at (0.0000, 0.0000, 0.0000), Si at (0.5000, 0.0000, 0.4936), Si at (0.5000, 0.5000, 0.2403) and Pt at (0.5000, 0.5000, 0.7472).

The uncorrected formation energy is -0.638 eV/atom.

- What is the formula in the first record?
  YSiPt3